Version 1
# meta-GGA SCAN Na2Hg2Pd, PBEsol geometry
data_Na2Hg2Pd
_cell_length_a 3.8243
_cell_length_b 3.8243
_cell_length_c 14.5422
_cell_angle_alpha 90.00
_cell_angle_beta 90.00
_cell_angle_gamma 90.00
_symmetry_space_group_name_H-M 'I 4/m m m'
_symmetry_Int_Tables_number 139
_symmetry_space_group_name_Hall '-I 4 2'
loop_
_atom_site_label
_atom_site_type_symbol
_atom_site_fract_x
_atom_site_fract_y
_atom_site_fract_z
Na1 Na 0.0000 0.5000 0.2500
Hg1 Hg 0.0000 0.0000 0.0933
Pd1 Pd 0.0000 0.0000 0.5000
# ρ = 8.6 g/cm3
# crystal system = tetragonal

Version 2
# meta-GGA SCAN Na2Hg2Pd, PBEsol geometry
data_Na2Hg2Pd
_cell_length_a 7.0512
_cell_length_b 7.0512
_cell_length_c 4.6576
_cell_angle_alpha 90.00
_cell_angle_beta 90.00
_cell_angle_gamma 90.00
_symmetry_space_group_name_H-M 'P 4/m b m'
_symmetry_Int_Tables_number 127
_symmetry_space_group_name_Hall '-P 4 2ab'
loop_
_atom_site_label
_atom_site_type_symbol
_atom_site_fract_x
_atom_site_fract_y
_atom_site_fract_z
Na1 Na 0.1731 0.3269 0.0000
Hg1 Hg 0.1451 0.6451 0.5000
Pd1 Pd 0.0000 0.0000 0.5000
# ρ = 7.9 g/cm3
# crystal system = tetragonal

Stability comparison, relative energies in kJ/mol of atoms: version 1 29.2; version 2 0.0